# 1
Li2CeBiSe4: optimized geometry, GGA-PBE.

Cell and atoms, written as CIF:
```
data_Li2CeBiSe4
_space_group_name_H-M_alt 'P 1 2/m 1'
_space_group_IT_number 10
_cell_length_a 6.967
_cell_length_b 4.206
_cell_length_c 7.243
_cell_angle_alpha 90.00
_cell_angle_beta 110.25
_cell_angle_gamma 90.00
loop_
_space_group_symop_operation_xyz
'x,y,z'
'-x,-y,-z'
'-x,y,-z'
'x,-y,z'
loop_
_atom_site_label
_atom_site_fract_x
_atom_site_fract_y
_atom_site_fract_z
Li1 0.000 0.000 0.000
Li2 0.000 0.500 0.500
Ce1 0.500 0.000 0.500
Bi1 0.500 0.500 0.000
Se1 0.237 0.000 0.747
Se2 0.239 0.500 0.247
```

Summary:
The calculation puts the formation energy (no corrections) at -9.24 eV/f.u.



# 2
LiCeSnBi: optimized geometry, GGA-PBE.

Cell and atoms, written as CIF:
```
data_LiCeSnBi
_space_group_name_H-M_alt 'F -4 3 m'
_space_group_IT_number 216
_space_group_name_Hall 'F -4 2 3'
_cell_length_a 7.545
_cell_length_b 7.545
_cell_length_c 7.545
_cell_angle_alpha 90.00
_cell_angle_beta 90.00
_cell_angle_gamma 90.00
loop_
_atom_site_label
_atom_site_fract_x
_atom_site_fract_y
_atom_site_fract_z
Li1 0.000 0.000 0.000
Ce1 0.000 0.000 0.500
Sn1 0.250 0.250 0.750
Bi1 0.250 0.250 0.250
```

Summary:
Its formation energy is -40.5 kJ/mol of atoms.



# 3
Sr2Li3CeBi4: optimized geometry, GGA-PBE.

Cell and atoms, written as CIF:
```
data_Sr2Li3CeBi4
_space_group_name_H-M_alt 'P -4 m 2'
_space_group_IT_number 115
_cell_length_a 4.982
_cell_length_b 4.982
_cell_length_c 12.299
_cell_angle_alpha 90.00
_cell_angle_beta 90.00
_cell_angle_gamma 90.00
loop_
_space_group_symop_operation_xyz
'x,y,z'
'y,-x,-z'
'-x,-y,z'
'-y,x,-z'
'-x,y,z'
'-y,-x,-z'
'x,-y,z'
'y,x,-z'
loop_
_atom_site_label
_atom_site_fract_x
_atom_site_fract_y
_atom_site_fract_z
Sr1 0.000 0.500 0.217
Li1 0.000 0.500 0.882
Li2 0.500 0.500 0.500
Ce1 0.000 0.000 0.500
Bi1 0.000 0.000 0.000
Bi2 0.000 0.500 0.657
Bi3 0.500 0.500 0.000
```

Summary:
Its formation energy is -60.1 kJ/mol of atoms.



# 4
LiCeTlBi: optimized geometry, GGA-PBE.

Cell and atoms, written as CIF:
```
data_LiCeTlBi
_space_group_name_H-M_alt 'F -4 3 m'
_space_group_IT_number 216
_space_group_name_Hall 'F -4 2 3'
_cell_length_a 7.579
_cell_length_b 7.579
_cell_length_c 7.579
_cell_angle_alpha 90.00
_cell_angle_beta 90.00
_cell_angle_gamma 90.00
loop_
_atom_site_label
_atom_site_fract_x
_atom_site_fract_y
_atom_site_fract_z
Li1 0.000 0.000 0.000
Ce1 0.000 0.000 0.500
Tl1 0.250 0.250 0.250
Bi1 0.250 0.250 0.750
```

Summary:
Its formation energy is -34.4 kJ/mol of atoms.



# 5
LiCeZnBi: optimized geometry, GGA-PBE.

Cell and atoms, written as CIF:
```
data_LiCeZnBi
_space_group_name_H-M_alt 'F -4 3 m'
_space_group_IT_number 216
_space_group_name_Hall 'F -4 2 3'
_cell_length_a 7.346
_cell_length_b 7.346
_cell_length_c 7.346
_cell_angle_alpha 90.00
_cell_angle_beta 90.00
_cell_angle_gamma 90.00
loop_
_atom_site_label
_atom_site_fract_x
_atom_site_fract_y
_atom_site_fract_z
Li1 0.000 0.000 0.000
Ce1 0.000 0.000 0.500
Zn1 0.250 0.250 0.250
Bi1 0.250 0.250 0.750
```

Summary:
Its formation energy is -32.7 kJ/mol of atoms.



# 6
CeLuBiPb: optimized geometry, GGA-PBE.

Cell and atoms, written as CIF:
```
data_CeLuBiPb
_space_group_name_H-M_alt 'F -4 3 m'
_space_group_IT_number 216
_space_group_name_Hall 'F -4 2 3'
_cell_length_a 7.759
_cell_length_b 7.759
_cell_length_c 7.759
_cell_angle_alpha 90.00
_cell_angle_beta 90.00
_cell_angle_gamma 90.00
loop_
_atom_site_label
_atom_site_fract_x
_atom_site_fract_y
_atom_site_fract_z
Ce1 0.000 0.000 0.000
Lu1 0.000 0.000 0.500
Bi1 0.250 0.250 0.250
Pb1 0.250 0.250 0.750
```

Summary:
Its formation energy is -39.1 kJ/mol of atoms.



# 7
CeLuSnBi: optimized geometry, GGA-PBE.

Cell and atoms, written as CIF:
```
data_CeLuSnBi
_space_group_name_H-M_alt 'F -4 3 m'
_space_group_IT_number 216
_space_group_name_Hall 'F -4 2 3'
_cell_length_a 7.684
_cell_length_b 7.684
_cell_length_c 7.684
_cell_angle_alpha 90.00
_cell_angle_beta 90.00
_cell_angle_gamma 90.00
loop_
_atom_site_label
_atom_site_fract_x
_atom_site_fract_y
_atom_site_fract_z
Ce1 0.000 0.000 0.000
Lu1 0.000 0.000 0.500
Sn1 0.250 0.250 0.750
Bi1 0.250 0.250 0.250
```

Summary:
Its formation energy is -47.5 kJ/mol of atoms.



# 8
CeLuTlBi: optimized geometry, GGA-PBE.

Cell and atoms, written as CIF:
```
data_CeLuTlBi
_space_group_name_H-M_alt 'F -4 3 m'
_space_group_IT_number 216
_space_group_name_Hall 'F -4 2 3'
_cell_length_a 7.717
_cell_length_b 7.717
_cell_length_c 7.717
_cell_angle_alpha 90.00
_cell_angle_beta 90.00
_cell_angle_gamma 90.00
loop_
_atom_site_label
_atom_site_fract_x
_atom_site_fract_y
_atom_site_fract_z
Ce1 0.000 0.000 0.000
Lu1 0.000 0.000 0.500
Tl1 0.250 0.250 0.250
Bi1 0.250 0.250 0.750
```

Summary:
Its formation energy is -33.2 kJ/mol of atoms.



# 9
CeMgBi: optimized geometry, GGA-PBE.

Cell and atoms, written as CIF:
```
data_CeMgBi
_space_group_name_H-M_alt 'P 3 m 1'
_space_group_IT_number 156
_cell_length_a 4.9062
_cell_length_b 4.9062
_cell_length_c 4.1306
_cell_angle_alpha 90.00
_cell_angle_beta 90.00
_cell_angle_gamma 120.00
loop_
_space_group_symop_operation_xyz
'x,y,z'
'-y,x-y,z'
'-x+y,-x,z'
'-y,-x,z'
'-x+y,y,z'
'x,x-y,z'
loop_
_atom_site_label
_atom_site_fract_x
_atom_site_fract_y
_atom_site_fract_z
Ce1 0.0000 0.0000 0.0000
Mg1 0.3333 0.6667 0.4990
Bi1 0.6667 0.3333 0.5006
```

Summary:
The energy relative to the lowest polymorph listed for this composition is 27 meV per atom. Its formation energy is -32.1 kJ/mol of atoms.



# 10
CeMg2Bi5: optimized geometry, GGA-PBE.

Cell and atoms, written as CIF:
```
data_CeMg2Bi5
_space_group_name_H-M_alt 'I 4/m m m'
_space_group_IT_number 139
_space_group_name_Hall '-I 4 2'
_cell_length_a 8.137
_cell_length_b 8.137
_cell_length_c 7.017
_cell_angle_alpha 90.00
_cell_angle_beta 90.00
_cell_angle_gamma 90.00
loop_
_atom_site_label
_atom_site_fract_x
_atom_site_fract_y
_atom_site_fract_z
Ce1 0.000 0.000 0.000
Mg1 0.000 0.500 0.000
Bi1 0.000 0.000 0.500
Bi2 0.250 0.250 0.250
```

Summary:
Its formation energy is -24.1 kJ/mol of atoms.



# 11
Ce4MgBi: optimized geometry, GGA-PBE.

Cell and atoms, written as CIF:
```
data_Ce4MgBi
_space_group_name_H-M_alt 'I m m m'
_space_group_IT_number 71
_space_group_name_Hall '-I 2 2'
_cell_length_a 5.167
_cell_length_b 6.231
_cell_length_c 9.623
_cell_angle_alpha 90.00
_cell_angle_beta 90.00
_cell_angle_gamma 90.00
loop_
_atom_site_label
_atom_site_fract_x
_atom_site_fract_y
_atom_site_fract_z
Ce1 0.000 0.245 0.181
Mg1 0.000 0.500 0.500
Bi1 0.000 0.000 0.500
```

Summary:
Its formation energy is -13.0 kJ/mol of atoms.



# 12
CeMg2Bi2: optimized geometry, GGA-PBE.

Cell and atoms, written as CIF:
```
data_CeMg2Bi2
_space_group_name_H-M_alt 'C m c m'
_space_group_IT_number 63
_space_group_name_Hall '-C 2c 2'
_cell_length_a 4.554
_cell_length_b 26.893
_cell_length_c 4.541
_cell_angle_alpha 90.00
_cell_angle_beta 90.00
_cell_angle_gamma 90.00
loop_
_atom_site_label
_atom_site_fract_x
_atom_site_fract_y
_atom_site_fract_z
Ce1 0.000 0.155 0.250
Mg1 0.000 0.040 0.750
Mg2 0.000 0.458 0.750
Bi1 0.000 0.250 0.750
Bi2 0.000 0.377 0.250
```

Summary:
Its formation energy is -38.2 kJ/mol of atoms.



Values for V, A^3/atom, ordered as above
24.9 26.8 30.5 27.2 24.8 29.2 28.4 28.7 28.7 29.0 25.8 27.8